No. 1
Material: PaGaCo
Method: DFT, PBE
State: optimized geometry

a = 3.8428 Å, b = 12.7899 Å, c = 4.7012 Å
α = 90.00°, β = 90.00°, γ = 90.00°
Space group Cmcm (No. 63)
Asymmetric unit:
Pa (0.0000, 0.1667, 0.2500) [4 per cell]
Ga (0.0000, 0.4133, 0.2500) [4 per cell]
Co (0.0000, 0.0000, 0.0000) [4 per cell]

Calculated total energy in eV for the cell shown: -80.26
ΔE_f in eV/atom: -0.145



No. 2
Material: Mn2Hg2I
Method: DFT, PBE
State: optimized geometry

a = 3.8008 Å, b = 3.8008 Å, c = 17.0362 Å
α = 90.00°, β = 90.00°, γ = 90.00°
Space group I4/mmm (No. 139)
Asymmetric unit:
Mn (0.0000, 0.5000, 0.2500) [4 per cell]
Hg (0.0000, 0.0000, 0.1236) [4 per cell]
I (0.0000, 0.0000, 0.5000) [2 per cell]

E above lowest polymorph in meV/atom: 0
Calculated total energy in eV for the cell shown: -36.47



No. 3
Material: NaNp2TcO8
Method: DFT, PBE
State: optimized geometry

a = 4.8682 Å, b = 6.8587 Å, c = 4.8729 Å
α = 90.00°, β = 91.28°, γ = 90.00°
Space group P2/m (No. 10)
Asymmetric unit:
Na (0.0000, 0.0000, 0.0000) [1 per cell]
Np (0.5000, 0.2515, 0.5000) [2 per cell]
Tc (0.0000, 0.5000, 0.0000) [1 per cell]
O (0.2014, 0.2862, 0.1994) [4 per cell]
O (0.2915, 0.5000, 0.7066) [2 per cell]
O (0.3217, 0.0000, 0.6761) [2 per cell]

Calculated total energy in eV for the cell shown: -104.98



No. 4
Material: ScBOF2
Method: DFT, PBE
State: optimized geometry

a = 4.0847 Å, b = 4.0847 Å, c = 4.0979 Å
α = 90.00°, β = 90.00°, γ = 90.00°
Space group P4/mmm (No. 123)
Asymmetric unit:
Sc (0.0000, 0.0000, 0.0000) [1 per cell]
B (0.5000, 0.5000, 0.5000) [1 per cell]
O (0.0000, 0.0000, 0.5000) [1 per cell]
F (0.0000, 0.5000, 0.0000) [2 per cell]

E above lowest polymorph in meV/atom: 0
Calculated total energy in eV for the cell shown: -30.26



No. 5
Material: BaMnTe2
Method: DFT, PBE
State: optimized geometry

a = 5.5770 Å, b = 5.5770 Å, c = 4.0832 Å
α = 90.00°, β = 90.00°, γ = 90.00°
Space group P4/mmm (No. 123)
Asymmetric unit:
Ba (0.0000, 0.0000, 0.0000) [1 per cell]
Mn (0.5000, 0.5000, 0.0000) [1 per cell]
Te (0.0000, 0.5000, 0.5000) [2 per cell]

Calculated total energy in eV for the cell shown: -19.22



No. 6
Material: Tb3Ce2Y6Tm
Method: DFT, PBE
State: optimized geometry

a = 6.1594 Å, b = 10.6653 Å, c = 11.7711 Å
α = 90.00°, β = 100.03°, γ = 90.00°
Space group C2/m (No. 12)
Asymmetric unit:
Tb (0.0000, 0.0000, 0.0000) [2 per cell]
Tb (0.0000, 0.3340, 0.0000) [4 per cell]
Ce (0.0000, 0.1665, 0.5000) [4 per cell]
Y (0.2483, 0.0000, 0.7484) [4 per cell]
Y (0.2496, 0.1674, 0.2519) [8 per cell]
Tm (0.0000, 0.5000, 0.5000) [2 per cell]

Calculated total energy in eV for the cell shown: -136.85
ΔE_f in eV/atom: 0.049



What is the formula in the sixth record? Tb3Ce2Y6Tm



What is the calculated total energy in the fifth record? -19.22 eV for the cell shown



Among the records above, which one has the highest calculated total energy? BaMnTe2